(1)
Here is GdErCuIr after structural relaxation from the Alexandria database. Energies are from PBE-GGA.

Energy of formation from the pure elements ... -55.84 kJ/mol of atoms
Theoretical density ... 11.8 g/cm³
E_tot ... -33.92 eV/cell

Cell: 4.876 4.876 4.876 Å, 60.00 60.00 60.00°
Last column: magnetic moment on the atom in μB.
Fractional coordinates of all 4 atoms:
Gd 0.000 0.000 0.000  -7.00
Ir 0.250 0.250 0.250  0.03
Er 0.500 0.500 0.500  -0.04
Cu 0.750 0.750 0.750  -0.01

***

(2)
Here is Rb2InS4 after structural relaxation from the Alexandria database. Energies are from PBE-GGA.

Theoretical density ... 3.0 g/cm³
E_tot ... -23.48 eV/cell
ΔE_f (raw) ... -0.328 eV per atom

Cell: 5.289 5.289 9.029 Å, 72.97 72.97 90.00°
Last column: magnetic moment on the atom in μB.
Fractional coordinates of all 7 atoms:
In 0.000 0.000 0.000  -0.02
Rb 0.360 0.360 0.280  0.00
Rb 0.640 0.640 0.720  0.00
S 0.849 0.849 0.302  0.45
S 0.500 0.000 0.000  0.48
S 0.000 0.500 0.000  0.48
S 0.151 0.151 0.698  0.45

***

(3)
Here is Pm3Sm4Tm after structural relaxation from the Alexandria database. Energies are from PBE-GGA.

Relative energy among the computed polymorphs ... 10 kJ/mol of formula units
Energy of formation from the pure elements ... 2.66 kJ/mol of atoms
Theoretical density ... 7.4 g/cm³
E_tot ... -74.76 eV/cell

Cell: 6.345 7.344 11.637 Å, 90.00 90.00 90.00°
Fractional coordinates of all 16 atoms:
Pm 0.148 0.374 0.500
Pm 0.981 0.624 0.250
Pm 0.981 0.624 0.750
Pm 0.648 0.626 0.000
Pm 0.481 0.376 0.750
Pm 0.481 0.376 0.250
Sm 0.150 0.875 0.000
Sm 0.482 0.874 0.747
Sm 0.146 0.875 0.500
Sm 0.646 0.125 0.000
Sm 0.982 0.126 0.753
Sm 0.650 0.125 0.500
Sm 0.982 0.126 0.247
Sm 0.482 0.874 0.253
Tm 0.147 0.376 0.000
Tm 0.647 0.624 0.500

***

(4)
Here is CaSc2Tl3Se6 after structural relaxation from the Alexandria database. Energies are from PBE-GGA.

Theoretical density ... 6.2 g/cm³
E_tot ... -57.01 eV/cell
ΔE_f (raw) ... -1.195 eV per atom

Cell: 7.126 7.126 7.801 Å, 98.85 98.85 120.10°
Fractional coordinates of all 12 atoms:
Sc 0.669 0.331 0.000
Sc 0.331 0.669 0.000
Se 0.069 0.424 0.205
Se 0.424 0.069 0.205
Se 0.576 0.931 0.795
Se 0.710 0.710 0.197
Se 0.931 0.576 0.795
Se 0.290 0.290 0.803
Tl 0.500 0.500 0.500
Tl 0.839 0.161 0.500
Tl 0.161 0.839 0.500
Ca 0.000 0.000 0.000

***

(5)
Here is CsTlI2F after structural relaxation from the Alexandria database. Energies are from PBE-GGA.

Theoretical density ... 5.2 g/cm³
E_tot ... -14.53 eV/cell
ΔE_f (raw) ... -1.268 eV per atom

Cell: 6.362 6.362 4.819 Å, 90.00 90.00 90.00°
Fractional coordinates of all 5 atoms:
F 0.000 0.000 0.500
I 0.500 0.000 0.000
I 0.000 0.500 0.000
Tl 0.000 0.000 0.000
Cs 0.500 0.500 0.500

***

(6)
Here is Ac2USnRh6 after structural relaxation from the Alexandria database. Energies are from PBE-GGA.

Energy of formation from the pure elements ... -52.20 kJ/mol of atoms
Theoretical density ... 10.6 g/cm³
E_tot ... -73.03 eV/cell

Cell: 5.808 8.539 6.674 Å, 53.69 64.21 90.00°
Fractional coordinates of all 10 atoms:
Rh 0.759 0.767 0.989
Rh 0.248 0.095 0.502
Rh 0.241 0.233 0.011
Rh 0.253 0.768 0.988
Rh 0.747 0.232 0.012
Rh 0.752 0.905 0.498
Ac 0.242 0.703 0.516
Ac 0.758 0.297 0.484
U 0.000 0.000 0.000
Sn 0.500 0.500 0.000

***

(7)
Here is Ca2LaRh after structural relaxation from the Alexandria database. Energies are from PBE-GGA.

Relative energy among the computed polymorphs ... 45 kJ/mol of formula units
Energy of formation from the pure elements ... -28.50 kJ/mol of atoms
Theoretical density ... 4.3 g/cm³
E_tot ... -17.46 eV/cell

Cell: 6.616 6.616 5.908 Å, 63.54 63.54 33.17°
Fractional coordinates of all 4 atoms:
La 0.428 0.428 0.571
Rh 0.762 0.762 0.742
Ca 0.064 0.064 0.935
Ca 0.246 0.246 0.252

***

(8)
Here is Ho6AlSe4 after structural relaxation from the Alexandria database. Energies are from PBE-GGA.

Theoretical density ... 8.1 g/cm³
E_tot ... -119.62 eV/cell
ΔE_f (raw) ... -1.333 eV per atom

Cell: 3.982 6.961 20.675 Å, 90.00 90.00 106.62°
Fractional coordinates of all 22 atoms:
Se 0.857 0.714 0.537
Se 0.584 0.167 0.877
Se 0.143 0.286 0.037
Se 0.584 0.167 0.623
Se 0.416 0.833 0.377
Se 0.416 0.833 0.123
Se 0.143 0.286 0.463
Se 0.857 0.714 0.963
Ho 0.055 0.111 0.334
Ho 0.658 0.316 0.750
Ho 0.769 0.537 0.099
Ho 0.769 0.537 0.401
Ho 0.231 0.463 0.901
Ho 0.945 0.889 0.666
Ho 0.055 0.111 0.166
Ho 0.945 0.889 0.834
Ho 0.500 0.000 0.000
Ho 0.342 0.684 0.250
Ho 0.500 0.000 0.500
Ho 0.231 0.463 0.599
Al 0.326 0.652 0.750
Al 0.674 0.348 0.250

***

| no. | total magnetization (μB/f.u.) |
| --- | --- |
| 1 | 7.1 |
| 2 | 3.0 |
| 3 | 0.0 |
| 4 | 0.0 |
| 5 | 0.0 |
| 6 | 0.0 |
| 7 | 0.0 |
| 8 | 0.0 |